This record from Alexandria describes an optimized crystal structure of ThSn2F8. The functional is PBE.

Summary:
* ΔE_f (raw): -3.090 eV per atom
* excess energy over the best structure of this formula in the dataset: 0 meV per atom
* calculated total energy: -64.4 eV/cell
* N(E_F): 0.000 states/eV per cell

abc: 4.1025 6.0130 7.7904
angles: 110.82 105.27 90.00
With the nearest neighbours (Å) after each atom.
Sites, in units of the cell vectors:
1 Th 0.5000 0.0000 0.0000  8 F 2.28-2.40
2 Sn 0.8106 0.3282 0.6211  4 F 2.25-2.45
3 Sn 0.1894 0.6718 0.3789  4 F 2.25-2.45
4 F 0.4084 0.6020 0.8167  1 Th 2.28
5 F 0.6564 0.9976 0.3127  1 Th 2.36, 1 Sn 2.43
6 F 0.7773 0.6633 0.5545  3 Sn 2.25-2.45
7 F 0.9748 0.1749 0.9497  2 Th 2.40, 1 F 2.48
8 F 0.2227 0.3367 0.4455  3 Sn 2.25-2.45
9 F 0.3436 0.0024 0.6873  1 Th 2.36, 1 Sn 2.43
10 F 0.5916 0.3980 0.1833  1 Th 2.28
11 F 0.0252 0.8251 0.0503  2 Th 2.40, 1 F 2.48

---

This record from Alexandria describes an optimized crystal structure of Th2SnF11. The functional is PBE.

Summary:
* ΔE_f (raw): -3.526 eV per atom
* calculated total energy: -177.6 eV/cell
* N(E_F): 5.082 states/eV per cell

abc: 8.5890 8.7871 8.7871
angles: 74.38 60.74 60.74
With the nearest neighbours (Å) after each atom.
Sites, in units of the cell vectors:
1 Th 0.6493 0.6828 0.3172  7 F 2.25-2.36
2 Th 0.3507 0.3172 0.6828  7 F 2.25-2.36
3 Th 0.8507 0.1828 0.8172  7 F 2.25-2.36
4 Th 0.1493 0.8172 0.1828  7 F 2.25-2.36
5 Sn 0.7500 0.7500 0.7500  8 F 2.31-2.32
6 Sn 0.2500 0.2500 0.2500  8 F 2.31-2.32
7 F 0.6488 0.7105 0.5677  1 Th 2.28, 1 Sn 2.32
8 F 0.3512 0.2895 0.4323  1 Th 2.28, 1 Sn 2.32
9 F 0.0730 0.5677 0.7105  1 Th 2.28, 1 Sn 2.32
10 F 0.8512 0.9323 0.7895  1 Th 2.28, 1 Sn 2.32
11 F 0.9270 0.4323 0.2895  1 Th 2.28, 1 Sn 2.32
12 F 0.1488 0.0677 0.2105  1 Th 2.28, 1 Sn 2.32
13 F 0.4270 0.7895 0.9323  1 Th 2.28, 1 Sn 2.32
14 F 0.5730 0.2105 0.0677  1 Th 2.28, 1 Sn 2.32
15 F 0.5000 0.5000 0.5000  2 Th 2.33, 2 F 2.49
16 F 0.0000 0.0000 0.0000  2 Th 2.33, 2 F 2.49
17 F 0.8770 0.7877 0.2123  2 Th 2.25-2.36, 1 F 2.49
18 F 0.1230 0.2123 0.7877  2 Th 2.25-2.36, 1 F 2.49
19 F 0.6230 0.2877 0.7123  2 Th 2.25-2.36, 1 F 2.49
20 F 0.3770 0.7123 0.2877  2 Th 2.25-2.36, 1 F 2.49
21 F 0.4492 0.9731 0.3159  1 Th 2.28, 1 Sn 2.31
22 F 0.5508 0.0269 0.6841  1 Th 2.28, 1 Sn 2.31
23 F 0.2617 0.3159 0.9731  1 Th 2.28, 1 Sn 2.31
24 F 0.0508 0.1841 0.5269  1 Th 2.28, 1 Sn 2.31
25 F 0.7383 0.6841 0.0269  1 Th 2.28, 1 Sn 2.31
26 F 0.9492 0.8159 0.4731  1 Th 2.28, 1 Sn 2.31
27 F 0.2383 0.5269 0.1841  1 Th 2.28, 1 Sn 2.31
28 F 0.7617 0.4731 0.8159  1 Th 2.28, 1 Sn 2.31

---

This record from Alexandria describes an optimized crystal structure of TiSn6F16. The functional is PBE.

Summary:
* ΔE_f (raw): -2.546 eV per atom
* calculated total energy: -240.8 eV/cell
* N(E_F): 0.000 states/eV per cell

abc: 7.8483 10.1759 11.1332
angles: 90.37 90.00 112.68
With the nearest neighbours (Å) after each atom.
Sites, in units of the cell vectors:
1 Ti 0.6597 0.0000 0.7500  6 F 1.89-1.90
2 Ti 0.3403 0.0000 0.2500  6 F 1.89-1.90
3 Sn 0.8700 0.1356 0.3969  3 F 2.15-2.23
4 Sn 0.4654 0.6866 0.4590  3 F 2.09-2.25
5 Sn 0.1300 0.8644 0.6031  3 F 2.15-2.23
6 Sn 0.5346 0.3134 0.5410  3 F 2.09-2.25
7 Sn 0.2822 0.3899 0.1789  4 F 2.18-2.37
8 Sn 0.2657 0.1356 0.8969  3 F 2.15-2.23
9 Sn 0.7343 0.8644 0.1031  3 F 2.15-2.23
10 Sn 0.8924 0.6101 0.3211  4 F 2.18-2.37
11 Sn 0.7178 0.6101 0.8211  4 F 2.18-2.37
12 Sn 0.1076 0.3899 0.6789  4 F 2.18-2.37
13 Sn 0.2212 0.6866 0.9590  3 F 2.09-2.25
14 Sn 0.7788 0.3134 0.0410  3 F 2.09-2.25
15 F 0.6191 0.4940 0.4144  2 Sn 2.21-2.27
16 F 0.7968 0.3060 0.4644  2 Sn 2.16-2.25
17 F 0.1250 0.5060 0.0856  2 Sn 2.21-2.27
18 F 0.0046 0.2920 0.2528  2 Sn 2.18-2.23
19 F 0.8750 0.4940 0.9144  2 Sn 2.21-2.27
20 F 0.4908 0.6940 0.0356  2 Sn 2.16-2.25
21 F 0.5547 0.1390 0.7684  1 Ti 1.90
22 F 0.7126 0.7080 0.2472  2 Sn 2.18-2.23
23 F 0.6404 0.9638 0.9176  1 Ti 1.90
24 F 0.3596 0.0362 0.0824  1 Ti 1.90
25 F 0.3234 0.9638 0.4176  1 Ti 1.90
26 F 0.7192 0.4536 0.6630  1 Sn 2.09
27 F 0.2032 0.6940 0.5356  2 Sn 2.16-2.25
28 F 0.2874 0.2920 0.7528  2 Sn 2.18-2.23
29 F 0.8984 0.1423 0.7749  1 Ti 1.89
30 F 0.9954 0.7080 0.7472  2 Sn 2.18-2.23
31 F 0.2808 0.5464 0.3370  1 Sn 2.09
32 F 0.2438 0.1423 0.2749  1 Ti 1.89
33 F 0.7562 0.8577 0.7251  1 Ti 1.89
34 F 0.5092 0.3060 0.9644  2 Sn 2.16-2.25
35 F 0.2656 0.5464 0.8370  1 Sn 2.09
36 F 0.8598 0.7642 0.9805  2 Sn 2.15-2.34
37 F 0.6766 0.0362 0.5824  1 Ti 1.90
38 F 0.9044 0.7642 0.4805  2 Sn 2.15-2.34
39 F 0.0956 0.2358 0.5195  2 Sn 2.15-2.34
40 F 0.4157 0.8610 0.7316  1 Ti 1.90
41 F 0.1016 0.8577 0.2251  1 Ti 1.89
42 F 0.5843 0.1390 0.2684  1 Ti 1.90
43 F 0.4453 0.8610 0.2316  1 Ti 1.90
44 F 0.7344 0.4536 0.1630  1 Sn 2.09
45 F 0.3809 0.5060 0.5856  2 Sn 2.21-2.27
46 F 0.1402 0.2358 0.0195  2 Sn 2.15-2.34

---

This record from Alexandria describes an optimized crystal structure of TiSn3F. The functional is PBE.

Summary:
* ΔE_f (raw): -0.085 eV per atom
* excess energy over the best structure of this formula in the dataset: 127 meV per atom
* calculated total energy: -22.2 eV/cell
* N(E_F): 4.624 states/eV per cell

abc: 5.2813 5.2813 5.2813
angles: 90.00 90.00 90.00
With the nearest neighbours (Å) after each atom.
Sites, in units of the cell vectors:
1 F 0.5000 0.5000 0.5000  12 Sn 3.73
2 Sn 0.0000 0.5000 0.0000  2 Ti 2.64
3 Sn 0.0000 0.0000 0.5000  2 Ti 2.64
4 Sn 0.5000 0.0000 0.0000  2 Ti 2.64
5 Ti 0.0000 0.0000 0.0000  6 Sn 2.64

---

This record from Alexandria describes an optimized crystal structure of TiSnF6. The functional is PBE.

Summary:
* ΔE_f (raw): -2.960 eV per atom
* calculated total energy: -46.8 eV/cell
* N(E_F): 0.000 states/eV per cell

abc: 4.9776 4.9776 5.2537
angles: 74.28 74.28 82.84
With the nearest neighbours (Å) after each atom.
Sites, in units of the cell vectors:
1 Ti 0.0000 0.0000 0.0000  6 F 1.89-1.90
2 Sn 0.5000 0.5000 0.5000  6 F 2.44-2.49
3 F 0.1319 0.7297 0.2775  1 Ti 1.90
4 F 0.7297 0.1319 0.2775  1 Ti 1.90
5 F 0.2703 0.8681 0.7225  1 Ti 1.90
6 F 0.8681 0.2703 0.7225  1 Ti 1.90
7 F 0.2588 0.2588 0.9740  1 Ti 1.89
8 F 0.7412 0.7412 0.0260  1 Ti 1.89

---

This record from Alexandria describes an optimized crystal structure of Ti2SnF11. The functional is PBE.

Summary:
* ΔE_f (raw): -2.932 eV per atom
* calculated total energy: -162.9 eV/cell
* N(E_F): 8.866 states/eV per cell

abc: 7.4303 7.9702 7.9702
angles: 73.98 62.22 62.22
With the nearest neighbours (Å) after each atom.
Sites, in units of the cell vectors:
1 Ti 0.6287 0.6821 0.3179  7 F 1.90-2.05
2 Ti 0.3713 0.3179 0.6821  7 F 1.90-2.05
3 Ti 0.8713 0.1821 0.8179  7 F 1.90-2.05
4 Ti 0.1287 0.8179 0.1821  7 F 1.90-2.05
5 Sn 0.7500 0.7500 0.7500  8 F 2.17-2.36
6 Sn 0.2500 0.2500 0.2500  8 F 2.17-2.36
7 F 0.6124 0.7221 0.5491  1 Ti 1.90
8 F 0.3876 0.2779 0.4509  1 Ti 1.90
9 F 0.1163 0.5491 0.7221  1 Ti 1.90
10 F 0.8876 0.9509 0.7779  1 Ti 1.90
11 F 0.8837 0.4509 0.2779  1 Ti 1.90
12 F 0.1124 0.0491 0.2221  1 Ti 1.90
13 F 0.3837 0.7779 0.9509  1 Ti 1.90
14 F 0.6163 0.2221 0.0491  1 Ti 1.90
15 F 0.5000 0.5000 0.5000  2 Ti 1.99
16 F 0.0000 0.0000 0.0000  2 Ti 1.99
17 F 0.8728 0.7807 0.2193  2 Ti 1.94-2.05
18 F 0.1272 0.2193 0.7807  2 Ti 1.94-2.05
19 F 0.6272 0.2807 0.7193  2 Ti 1.93-2.05
20 F 0.3728 0.7193 0.2807  2 Ti 1.93-2.05
21 F 0.4697 0.9631 0.3040  1 Ti 1.99, 1 Sn 2.17
22 F 0.5303 0.0369 0.6960  1 Ti 1.99, 1 Sn 2.17
23 F 0.2631 0.3040 0.9631  1 Ti 1.99, 1 Sn 2.17
24 F 0.0303 0.1960 0.5369  1 Ti 1.99, 1 Sn 2.17
25 F 0.7369 0.6960 0.0369  1 Ti 1.99, 1 Sn 2.17
26 F 0.9697 0.8040 0.4631  1 Ti 1.99, 1 Sn 2.17
27 F 0.2369 0.5369 0.1960  1 Ti 1.99, 1 Sn 2.17
28 F 0.7631 0.4631 0.8040  1 Ti 1.99, 1 Sn 2.17

---

This record from Alexandria describes an optimized crystal structure of Ti2SnF. The functional is PBE.

Summary:
* ΔE_f (raw): -0.626 eV per atom
* excess energy over the best structure of this formula in the dataset: 0 meV per atom
* calculated total energy: -48.3 eV/cell
* N(E_F): 9.186 states/eV per cell

abc: 4.8857 4.8857 7.4364
angles: 70.82 70.82 90.00
With the nearest neighbours (Å) after each atom.
Sites, in units of the cell vectors:
1 F 0.5000 0.5000 0.0000  4 Ti 2.05
2 F 0.2500 0.7500 0.5000  4 Ti 2.05
3 Sn 0.0000 0.0000 0.0000  8 Ti 3.19, 4 F 3.45
4 Sn 0.7500 0.2500 0.5000  8 Ti 3.19, 4 F 3.45
5 Ti 0.3751 0.1250 0.2500  2 F 2.05
6 Ti 0.3749 0.6250 0.2500  2 F 2.05
7 Ti 0.3750 0.6249 0.7500  2 F 2.05
8 Ti 0.8750 0.6251 0.7500  2 F 2.05

---

This record from Alexandria describes an optimized crystal structure of Ti2SnF. The functional is PBE.

Summary:
* ΔE_f (raw): -0.563 eV per atom
* excess energy over the best structure of this formula in the dataset: 64 meV per atom
* calculated total energy: -23.9 eV/cell
* N(E_F): 1.975 states/eV per cell

abc: 4.6270 4.6270 4.6270
angles: 60.00 60.00 60.00
With the nearest neighbours (Å) after each atom.
Sites, in units of the cell vectors:
1 F 0.0000 0.0000 0.0000  8 Ti 2.83
2 Sn 0.5000 0.5000 0.5000  8 Ti 2.83
3 Ti 0.2500 0.2500 0.2500  4 F 2.83, 4 Sn 2.83
4 Ti 0.7500 0.7500 0.7500  4 F 2.83, 4 Sn 2.83